Compound: Li2GaCuH
Source: Alexandria
Functional: PBE
Structure: optimized geometry

Magnetic moment, Bohr magnetons per cell: 0.0
Symmetry: P4/mmm, No. 123
Excess energy over the best structure of this formula in the dataset, eV per atom: 0.000

Cell lengths 3.8450, 3.8450, 3.8286 Å; angles 90.00, 90.00, 90.00 degrees
Atoms (fractional coordinates):
Ga 0.5000 0.5000 0.5000
Li 0.5000 0.0000 0.0000
Li 0.0000 0.5000 0.0000
H 0.0000 0.0000 0.0000
Cu 0.0000 0.0000 0.5000



Compound: Mg2InNi
Source: Alexandria
Functional: PBE
Structure: optimized geometry

Magnetic moment, Bohr magnetons per cell: 0.0
Symmetry: P2/m, No. 10
Formation energy from the elements, eV per atom: -0.135

Cell lengths 3.1087, 3.1837, 8.1253 Å; angles 66.66, 90.00, 90.00 degrees
Atoms (fractional coordinates):
Ni 0.5000 0.2500 0.2500
In 0.5000 0.7500 0.7500
Mg 0.0000 0.9488 0.0516
Mg 0.0000 0.5512 0.4484



Compound: Pm4Pr2Er2Tm
Source: Alexandria
Functional: PBE
Structure: optimized geometry

Magnetic moment, Bohr magnetons per cell: 0.0
Symmetry: C2/m, No. 12
Formation energy from the elements, eV per atom: 0.024

Cell lengths 5.1240, 8.1069, 8.0526 Å; angles 107.62, 90.00, 108.42 degrees
Atoms (fractional coordinates):
Tm 0.0000 0.0000 0.0000
Pm 0.5555 0.1111 0.3297
Pr 0.1118 0.2236 0.6701
Pm 0.7788 0.5576 0.6702
Pr 0.8882 0.7764 0.3299
Pm 0.2212 0.4424 0.3298
Er 0.3337 0.6675 0.9997
Er 0.6663 0.3325 0.0003
Pm 0.4445 0.8889 0.6703



Compound: Mg7Cd4Ga
Source: Alexandria
Functional: PBE
Structure: optimized geometry

Magnetic moment, Bohr magnetons per cell: 0.0
Symmetry: C2/m, No. 12
Formation energy from the elements, eV per atom: 0.035

Cell lengths 5.1143, 8.5352, 7.3665 Å; angles 80.20, 69.69, 72.57 degrees
Atoms (fractional coordinates):
Mg 0.6553 0.4037 0.2856
Mg 0.3447 0.5963 0.7144
Cd 0.7038 0.6522 0.9401
Cd 0.5685 0.2166 0.6464
Mg 0.2164 0.1358 0.4314
Mg 0.0662 0.6732 0.1944
Mg 0.7836 0.8642 0.5686
Cd 0.2962 0.3478 0.0599
Ga 0.0000 0.0000 0.0000
Mg 0.9338 0.3268 0.8056
Cd 0.4315 0.7834 0.3536
Mg 0.5000 0.0000 0.0000



What is the formula in the third record? Pm4Pr2Er2Tm



What is the magnetic moment in the second record? 0.0 Bohr magnetons per cell